Computed, not measured: MnBeF4 after structural relaxation at the PBE+U level of DFT.

abc: 7.7491 6.6886 7.1711
angles: 90.00 120.45 90.00
Closest atoms and distances in Å follow each position.
Space group Cm (No. 8)
Inequivalent atoms, fractional coordinates:
Mn: 0.0000 0.0000 0.0000 (multiplicity 2)  5 F 2.01-2.24
Mn: 0.0604 0.5000 0.5131 (multiplicity 2)  5 F 2.01-2.24
Be: 0.0837 0.5000 0.0213 (multiplicity 2)  4 F 1.53-1.60
Be: 0.4741 0.5000 0.4906 (multiplicity 2)  4 F 1.53-1.60
F: 0.0924 0.1917 0.5156 (multiplicity 4)  1 Be 1.53
F: 0.1674 0.5000 0.8583 (multiplicity 2)  1 Be 1.60
F: 0.2773 0.5000 0.2572 (multiplicity 2)  2 Be 1.59
F: 0.2801 0.0000 0.2565 (multiplicity 2)  2 Mn 2.01
F: 0.3931 0.5000 0.6558 (multiplicity 2)  1 Be 1.60
F: 0.4651 0.1919 0.9943 (multiplicity 4)  1 Be 1.53

Results
E	-144.77	eV/cell
density	2901	kg/m3